Entry 1:
A relaxed structure of ZnNiBr2. Source: Alexandria via LeMat-Bulk, functional GGA-PBE.

As for the volume: 26.5 A^3/atom. For the polymorph energy (0 for the lowest one), the calculation gives 0.95 eV/f.u. As for the total magnetization: 1.94 μB/f.u. For the uncorrected formation energy, the calculation gives -36 meV/atom. The calculation puts the electronic total energy at -10.5 eV/f.u.

The structure belongs to space group C2/m (No. 12); the cell edges are 6.3095, 3.6434 and 9.4618 Å and the angles 90.00°, 103.22° and 90.00°. The inequivalent atoms are Zn at (0.0000, 0.0000, 0.0000), Ni at (0.0000, 0.5000, 0.5000) and Br at (0.2197, 0.0000, 0.6545).

=====

Entry 2:
A relaxed structure of ErGa6. Source: Alexandria via LeMat-Bulk, functional GGA-PBE.

As for the volume: 40.8 A^3/atom. For the polymorph energy (0 for the lowest one), the calculation gives 4.73 eV/f.u. As for the total magnetization: 0.00 μB/f.u. The calculation puts the electronic total energy at -20.0 eV/f.u.

The structure belongs to space group P4/mmm (No. 123); the cell edges are 8.4079, 8.4079 and 8.0775 Å and the angles 90.00°, 90.00° and 90.00°. The inequivalent atoms are Er at (0.0000, 0.5000, 0.0000), Ga at (0.0000, 0.2159, 0.1858) and Ga at (0.0000, 0.5000, 0.3486).